{"formula": "RbTl2V2O7", "functional": "PBE+U", "state": "optimized geometry", "energy_ev_per_atom": -6.1492, "sg": "R32", "lattice": [[2.983, 1.722, 8.401], [-2.983, 1.722, 8.401], [0.000, -3.444, 8.401]], "species": ["Rb", "Tl", "Tl", "V", "V", "O", "O", "O", "O", "O", "O", "O"], "frac_coords": [[0.000, 0.000, 0.000], [0.210, 0.210, 0.210], [0.790, 0.790, 0.790], [0.428, 0.428, 0.428], [0.572, 0.572, 0.572], [0.113, 0.449, 0.658], [0.342, 0.551, 0.887], [0.449, 0.658, 0.113], [0.500, 0.500, 0.500], [0.551, 0.887, 0.342], [0.658, 0.113, 0.449], [0.887, 0.342, 0.551]]}